SmScCo after structural relaxation, computed with PBE-GGA. Values from VASP.

Values from the calculation:
- energy of formation (eV per atom) = -0.100
- E above lowest polymorph (eV/f.u.) = 0.19
- energy (eV per atom) = -6.15

```
&SYSTEM
  ibrav = 0, nat = 3, ntyp = 3
/
ATOMIC_SPECIES
Sm 150.36 Sm.upf
Co 58.93 Co.upf
Sc 44.96 Sc.upf
ATOMIC_POSITIONS crystal
Sm 0.030 0.030 0.060
Co 0.679 0.679 0.358
Sc 0.291 0.291 0.582
CELL_PARAMETERS angstrom
3.282 0.000 0.000
0.000 3.282 0.000
-1.641 -1.641 6.110
```

TiAsOs after structural relaxation, computed with PBE-GGA. Values from VASP.

Values from the calculation:
- energy of formation (eV per atom) = -0.096
- energy (eV per atom) = -8.02

```
&SYSTEM
  ibrav = 0, nat = 6, ntyp = 3
/
ATOMIC_SPECIES
As 74.92 As.upf
Ti 47.87 Ti.upf
Os 190.23 Os.upf
ATOMIC_POSITIONS crystal
As 0.721 0.721 0.836
Ti 0.434 0.434 0.697
Os 0.819 0.819 0.544
As 0.279 0.279 0.164
Os 0.181 0.181 0.456
Ti 0.566 0.566 0.303
CELL_PARAMETERS angstrom
4.121 0.000 0.000
2.061 3.569 0.000
2.061 1.190 8.467
```